# 1
Compound: BaTa2Al
Source: Alexandria via LeMat-Bulk
Functional: SCAN
Structure: PBEsol geometry

Values from the calculation:
**DFT total energy**: -44.54 eV/atom

CIF file:
```
data_BaTa2Al
_chemical_formula_sum 'Ba1 Ta2 Al1'
_cell_length_a 2.948
_cell_length_b 2.948
_cell_length_c 9.956
_cell_angle_alpha 90.00
_cell_angle_beta 90.00
_cell_angle_gamma 90.00
_space_group_name_H-M_alt 'P 4/m m m'
_space_group_IT_number 123
_space_group_name_Hall '-P 4 2'
loop_
_atom_site_label
_atom_site_fract_x
_atom_site_fract_y
_atom_site_fract_z
Ba1 0.000 0.000 0.000
Ta1 0.500 0.500 0.313
Al1 0.000 0.000 0.500
```

***

# 2
Compound: Ho2AlFe3
Source: Alexandria via LeMat-Bulk
Functional: SCAN
Structure: PBEsol geometry

Values from the calculation:
**DFT total energy**: -26.86 eV/atom

CIF file:
```
data_Ho2AlFe3
_chemical_formula_sum 'Ho6 Al3 Fe9'
_cell_length_a 5.1054
_cell_length_b 5.1054
_cell_length_c 12.4305
_cell_angle_alpha 90.00
_cell_angle_beta 90.00
_cell_angle_gamma 120.00
_space_group_name_H-M_alt 'R -3 m'
_space_group_IT_number 166
_space_group_name_Hall '-R 3 2"'
loop_
_atom_site_label
_atom_site_fract_x
_atom_site_fract_y
_atom_site_fract_z
Ho1 0.0000 0.0000 0.1223
Al1 0.0000 0.0000 0.5000
Fe1 0.0000 0.5000 0.0000
```

***

# 3
Compound: TiPtPb2S
Source: Alexandria via LeMat-Bulk
Functional: SCAN
Structure: PBEsol geometry

Values from the calculation:
**ΔE_f (raw)**: 41.2 kJ/mol of atoms
**DFT total energy**: -49.06 eV/atom

CIF file:
```
data_TiPtPb2S
_chemical_formula_sum 'Ti1 Pt1 Pb2 S1'
_cell_length_a 5.235
_cell_length_b 5.235
_cell_length_c 4.370
_cell_angle_alpha 90.00
_cell_angle_beta 90.00
_cell_angle_gamma 90.00
_space_group_name_H-M_alt 'P 4/m m m'
_space_group_IT_number 123
_space_group_name_Hall '-P 4 2'
loop_
_atom_site_label
_atom_site_fract_x
_atom_site_fract_y
_atom_site_fract_z
Ti1 0.000 0.000 0.000
Pt1 0.500 0.500 0.000
Pb1 0.000 0.500 0.500
S1 0.000 0.000 0.500
```